First-principles (GGA-PBE) data for crystalline ScBO2F at its relaxed geometry, as listed in the Alexandria database.

```
ScBO2F
1.0
3.3554 0.0000 0.0000
0.0000 3.3554 0.0000
0.0000 0.0000 3.7406
Sc O F B
1 2 1 1
direct
0.5000 0.5000 0.5000 Sc
0.5000 0.0000 0.0000 O
0.0000 0.5000 0.0000 O
0.0000 0.0000 0.5000 F
0.0000 0.0000 0.0000 B
```

Summary:
Total magnetic moment ... 0.2 μB/cell
N(E_F) ... 0.305 states/eV/atom
Final energy ... -33.2 eV for the cell shown